# 1
DFT (PBE-GGA) results for a relaxed NpPa3N4 crystal.

Output
E_tot: -173.59 eV/cell
space group: P2/c, No. 13
N(E_F): 10.6 states/eV/f.u.
formation energy without anion corrections: -1.508 eV per atom

a b c (Å): 6.040 7.000 6.053
angles (deg): 90.00 109.55 90.00
Element x y z (fractional)
Np: 0.000 0.123 0.250
Np: 0.000 0.877 0.750
Pa: 0.000 0.374 0.750
Pa: 0.000 0.626 0.250
Pa: 0.500 0.123 0.750
Pa: 0.500 0.374 0.250
Pa: 0.500 0.626 0.750
Pa: 0.500 0.877 0.250
N: 0.252 0.126 0.000
N: 0.252 0.376 0.502
N: 0.252 0.624 0.002
N: 0.252 0.874 0.500
N: 0.748 0.126 0.500
N: 0.748 0.376 0.998
N: 0.748 0.624 0.498
N: 0.748 0.874 0.000

=====

# 2
DFT (PBE-GGA) results for a relaxed RbBaTbBr6 crystal.

Output
E_tot: -70.56 eV/cell
space group: P-31c, No. 163
N(E_F): 0.0 states/eV/f.u.
formation energy without anion corrections: -1.969 eV per atom

a b c (Å): 8.043 8.043 14.211
angles (deg): 90.00 90.00 120.00
Element x y z (fractional)
Rb: 0.000 0.000 0.000
Rb: 0.000 0.000 0.500
Ba: 0.333 0.667 0.250
Ba: 0.667 0.333 0.750
Tb: 0.333 0.667 0.750
Tb: 0.667 0.333 0.250
Br: 0.039 0.387 0.635
Br: 0.039 0.652 0.865
Br: 0.348 0.387 0.865
Br: 0.348 0.961 0.635
Br: 0.387 0.039 0.135
Br: 0.387 0.348 0.365
Br: 0.613 0.652 0.635
Br: 0.613 0.961 0.865
Br: 0.652 0.039 0.365
Br: 0.652 0.613 0.135
Br: 0.961 0.348 0.135
Br: 0.961 0.613 0.365